No. 1
The following is a DFT calculation (GGA-PBE) of a geometry-optimized PmY4Th structure.

Values from the calculation:
The density of states at the Fermi level comes out at 9.58 states/eV/f.u. The calculation puts the total magnetization at 0.00 μB/atom. As for the symmetry: No. 15. As for the total energy: -37.6 eV/f.u. The value obtained for the energy above the most stable polymorph in this dataset is 0 meV/atom.

Lattice parameters (Å, degrees): 6.6765 6.6765 12.0872 107.68 107.68 50.34
Last column: nearest neighbours and their distance in Å.
Fractional coordinates of all 12 atoms:
Pm 0.2504 0.7496 0.7500  2 Th 3.48, 12 Y 3.71-3.73
Pm 0.7496 0.2504 0.2500  2 Th 3.48, 12 Y 3.71-3.73
Y 0.0408 0.5423 0.2083  5 Y 3.28-3.49
Y 0.2088 0.7087 0.0420  5 Y 3.28-3.49
Y 0.2913 0.7912 0.4580  5 Y 3.28-3.49
Y 0.4577 0.9592 0.2917  5 Y 3.28-3.49
Y 0.5423 0.0408 0.7083  5 Y 3.28-3.49
Y 0.7087 0.2088 0.5420  5 Y 3.28-3.49
Y 0.7912 0.2913 0.9580  5 Y 3.28-3.49
Y 0.9592 0.4577 0.7917  5 Y 3.28-3.49
Th 0.0000 0.5000 0.5000  2 Pm 3.48, 12 Y 3.71-3.72
Th 0.5000 0.0000 0.0000  2 Pm 3.48, 12 Y 3.71-3.72

***

No. 2
The following is a DFT calculation (GGA-PBE) of a geometry-optimized Pm2YTh4 structure.

Values from the calculation:
The density of states at the Fermi level comes out at 10.39 states/eV/f.u. The calculation puts the total magnetization at 0.00 μB/atom. As for the symmetry: No. 65. As for the total energy: -45.1 eV/f.u.

Lattice parameters (Å, degrees): 3.5824 36.4080 3.5843 90.00 90.00 90.00
Last column: nearest neighbours and their distance in Å.
Fractional coordinates of all 14 atoms:
Pm 0.0000 0.2062 0.0000  4 Th 3.55, 6 Pm 3.58-3.66
Pm 0.0000 0.7938 0.0000  4 Th 3.55, 6 Pm 3.58-3.66
Pm 0.5000 0.2938 0.0000  4 Th 3.55, 6 Pm 3.58-3.66
Pm 0.5000 0.7062 0.0000  4 Th 3.55, 6 Pm 3.58-3.66
Y 0.0000 0.5000 0.5000  4 Y 3.58, 8 Th 3.62
Y 0.5000 0.0000 0.5000  4 Y 3.58, 8 Th 3.62
Th 0.0000 0.0710 0.0000  8 Th 3.51-3.58, 4 Y 3.62
Th 0.0000 0.3622 0.5000  8 Th 3.51-3.58, 4 Pm 3.55
Th 0.0000 0.6378 0.5000  8 Th 3.51-3.58, 4 Pm 3.55
Th 0.0000 0.9290 0.0000  8 Th 3.51-3.58, 4 Y 3.62
Th 0.5000 0.1378 0.5000  8 Th 3.51-3.58, 4 Pm 3.55
Th 0.5000 0.4290 0.0000  8 Th 3.51-3.58, 4 Y 3.62
Th 0.5000 0.5710 0.0000  8 Th 3.51-3.58, 4 Y 3.62
Th 0.5000 0.8622 0.5000  8 Th 3.51-3.58, 4 Pm 3.55

***

No. 3
The following is a DFT calculation (GGA-PBE) of a geometry-optimized Pm2Y7Th2 structure.

Values from the calculation:
The density of states at the Fermi level comes out at 17.01 states/eV/f.u. The calculation puts the total magnetization at 0.00 μB/atom. As for the symmetry: No. 12. As for the total energy: -67.5 eV/f.u. The value obtained for the energy above the most stable polymorph in this dataset is 0 meV/atom.

Lattice parameters (Å, degrees): 8.1439 8.1439 6.0481 106.17 106.17 91.16
Last column: nearest neighbours and their distance in Å.
Fractional coordinates of all 11 atoms:
Pm 0.2321 0.2321 0.0923  8 Y 3.40-3.77, 2 Th 3.50
Pm 0.7679 0.7679 0.9077  8 Y 3.40-3.77, 2 Th 3.50
Y 0.0000 0.0000 0.5000  4 Y 3.28, 2 Pm 3.51
Y 0.0616 0.5921 0.3316  2 Y 3.19-3.28, 2 Th 3.34-3.51, 1 Pm 3.40
Y 0.4079 0.9384 0.6684  2 Y 3.19-3.28, 2 Th 3.34-3.51, 1 Pm 3.40
Y 0.4093 0.4093 0.6976  3 Pm 3.41-3.77, 6 Y 3.41-3.79, 2 Th 3.75
Y 0.5907 0.5907 0.3024  3 Pm 3.41-3.77, 6 Y 3.41-3.79, 2 Th 3.75
Y 0.5921 0.0616 0.3316  2 Y 3.19-3.28, 2 Th 3.34-3.51, 1 Pm 3.40
Y 0.9384 0.4079 0.6684  2 Y 3.19-3.28, 2 Th 3.34-3.51, 1 Pm 3.40
Th 0.2126 0.7874 0.0000  6 Y 3.34-3.74, 2 Pm 3.50
Th 0.7874 0.2126 0.0000  6 Y 3.34-3.74, 2 Pm 3.50

***

No. 4
The following is a DFT calculation (GGA-PBE) of a geometry-optimized PmY4Th2 structure.

Values from the calculation:
The density of states at the Fermi level comes out at 12.90 states/eV/f.u. The calculation puts the total magnetization at 0.00 μB/atom. As for the symmetry: No. 139. As for the total energy: -39.9 eV/f.u. The value obtained for the energy above the most stable polymorph in this dataset is 712 meV/atom.

Lattice parameters (Å, degrees): 5.6044 5.6044 16.7046 90.00 90.00 90.00
Last column: nearest neighbours and their distance in Å.
Fractional coordinates of all 14 atoms:
Pm 0.0000 0.0000 0.0000  6 Y 2.80-3.02
Pm 0.5000 0.5000 0.5000  6 Y 2.80-3.02
Y 0.0000 0.0000 0.1807  1 Pm 3.02
Y 0.0000 0.0000 0.8193  1 Pm 3.02
Y 0.0000 0.5000 0.0000  2 Pm 2.80
Y 0.0000 0.5000 0.5000  2 Pm 2.80
Y 0.5000 0.0000 0.0000  2 Pm 2.80
Y 0.5000 0.0000 0.5000  2 Pm 2.80
Y 0.5000 0.5000 0.3193  1 Pm 3.02
Y 0.5000 0.5000 0.6807  1 Pm 3.02
Th 0.0000 0.0000 0.3865  5 Y 3.38-3.44
Th 0.0000 0.0000 0.6135  5 Y 3.38-3.44
Th 0.5000 0.5000 0.1135  5 Y 3.38-3.44
Th 0.5000 0.5000 0.8865  5 Y 3.38-3.44

***

No. 5
The following is a DFT calculation (GGA-PBE) of a geometry-optimized Pm8Y5Th structure.

Values from the calculation:
The density of states at the Fermi level comes out at 22.55 states/eV/f.u. The calculation puts the total magnetization at 0.00 μB/atom. As for the symmetry: No. 82. As for the total energy: -73.7 eV/f.u.

Lattice parameters (Å, degrees): 8.5720 8.5720 8.5720 110.68 110.68 107.08
Last column: nearest neighbours and their distance in Å.
Fractional coordinates of all 14 atoms:
Pm 0.1030 0.6842 0.7817  1 Th 3.26, 5 Y 3.27-3.51, 1 Pm 3.64
Pm 0.1718 0.2756 0.7666  5 Y 3.42-3.62, 4 Pm 3.52-3.80
Pm 0.3158 0.0975 0.4187  1 Th 3.26, 5 Y 3.27-3.51, 1 Pm 3.64
Pm 0.5089 0.4052 0.2334  5 Y 3.42-3.62, 4 Pm 3.52-3.80
Pm 0.5948 0.8282 0.1037  5 Y 3.42-3.62, 4 Pm 3.52-3.80
Pm 0.6788 0.8970 0.5813  1 Th 3.26, 5 Y 3.27-3.51, 1 Pm 3.64
Pm 0.7244 0.4911 0.8963  5 Y 3.42-3.62, 4 Pm 3.52-3.80
Pm 0.9025 0.3212 0.2183  1 Th 3.26, 5 Y 3.27-3.51, 1 Pm 3.64
Y 0.2195 0.6300 0.1887  8 Pm 3.34-3.62, 2 Y 3.56
Y 0.3700 0.5587 0.5894  8 Pm 3.34-3.62, 2 Y 3.56
Y 0.4413 0.0307 0.8113  8 Pm 3.34-3.62, 2 Y 3.56
Y 0.7500 0.2500 0.5000  8 Pm 3.27-3.42
Y 0.9693 0.7805 0.4106  8 Pm 3.34-3.62, 2 Y 3.56
Th 0.0000 0.0000 0.0000  4 Pm 3.26

***

No. 6
The following is a DFT calculation (GGA-PBE) of a geometry-optimized Pm6Y12Th structure.

Values from the calculation:
The density of states at the Fermi level comes out at 35.51 states/eV/f.u. The calculation puts the total magnetization at 0.00 μB/atom. As for the symmetry: No. 166. As for the total energy: -109.4 eV/f.u. The value obtained for the energy above the most stable polymorph in this dataset is 74 meV/atom.

Lattice parameters (Å, degrees): 8.8067 8.8067 8.8067 99.77 99.77 99.77
Last column: nearest neighbours and their distance in Å.
Fractional coordinates of all 19 atoms:
Pm 0.1605 0.6000 0.6000  1 Pm 3.12, 2 Y 3.44, 1 Th 3.47
Pm 0.4000 0.4000 0.8395  1 Pm 3.12, 2 Y 3.44, 1 Th 3.47
Pm 0.4000 0.8395 0.4000  1 Pm 3.12, 2 Y 3.44, 1 Th 3.47
Pm 0.6000 0.1605 0.6000  1 Pm 3.12, 2 Y 3.44, 1 Th 3.47
Pm 0.6000 0.6000 0.1605  1 Pm 3.12, 2 Y 3.44, 1 Th 3.47
Pm 0.8395 0.4000 0.4000  1 Pm 3.12, 2 Y 3.44, 1 Th 3.47
Y 0.0000 0.2574 0.7426  6 Y 3.38-3.59, 4 Pm 3.44-3.62
Y 0.0000 0.7426 0.2574  6 Y 3.38-3.59, 4 Pm 3.44-3.62
Y 0.1531 0.1531 0.4222  6 Y 3.38-3.63
Y 0.1531 0.4222 0.1531  6 Y 3.38-3.63
Y 0.2574 0.0000 0.7426  6 Y 3.38-3.59, 4 Pm 3.44-3.62
Y 0.2574 0.7426 0.0000  6 Y 3.38-3.59, 4 Pm 3.44-3.62
Y 0.4222 0.1531 0.1531  6 Y 3.38-3.63
Y 0.5778 0.8469 0.8469  6 Y 3.38-3.63
Y 0.7426 0.0000 0.2574  6 Y 3.38-3.59, 4 Pm 3.44-3.62
Y 0.7426 0.2574 0.0000  6 Y 3.38-3.59, 4 Pm 3.44-3.62
Y 0.8469 0.5778 0.8469  6 Y 3.38-3.63
Y 0.8469 0.8469 0.5778  6 Y 3.38-3.63
Th 0.5000 0.5000 0.5000  6 Pm 3.47, 6 Y 3.81

***

No. 7
The following is a DFT calculation (GGA-PBE) of a geometry-optimized Pm2Y2Th3 structure.

Values from the calculation:
The density of states at the Fermi level comes out at 10.82 states/eV/f.u. The calculation puts the total magnetization at 0.00 μB/atom. As for the symmetry: No. 65. As for the total energy: -44.1 eV/f.u.

Lattice parameters (Å, degrees): 3.5483 37.0172 3.5544 90.00 90.00 90.00
Last column: nearest neighbours and their distance in Å.
Fractional coordinates of all 14 atoms:
Pm 0.0000 0.2084 0.0000  6 Pm 3.55-3.56, 4 Y 3.63
Pm 0.0000 0.7916 0.0000  6 Pm 3.55-3.56, 4 Y 3.63
Pm 0.5000 0.2916 0.0000  6 Pm 3.55-3.56, 4 Y 3.63
Pm 0.5000 0.7084 0.0000  6 Pm 3.55-3.56, 4 Y 3.63
Y 0.0000 0.3626 0.5000  4 Y 3.55, 4 Th 3.59, 4 Pm 3.63
Y 0.0000 0.6374 0.5000  4 Y 3.55, 4 Th 3.59, 4 Pm 3.63
Y 0.5000 0.1374 0.5000  4 Y 3.55, 4 Th 3.59, 4 Pm 3.63
Y 0.5000 0.8626 0.5000  4 Y 3.55, 4 Th 3.59, 4 Pm 3.63
Th 0.0000 0.0681 0.0000  8 Th 3.55-3.56, 4 Y 3.59
Th 0.0000 0.5000 0.5000  12 Th 3.55-3.56
Th 0.0000 0.9319 0.0000  8 Th 3.55-3.56, 4 Y 3.59
Th 0.5000 0.0000 0.5000  12 Th 3.55-3.56
Th 0.5000 0.4319 0.0000  8 Th 3.55-3.56, 4 Y 3.59
Th 0.5000 0.5681 0.0000  8 Th 3.55-3.56, 4 Y 3.59

***

No. 8
The following is a DFT calculation (GGA-PBE) of a geometry-optimized Pm7Y12Th structure.

Values from the calculation:
The density of states at the Fermi level comes out at 44.42 states/eV/f.u. The calculation puts the total magnetization at 0.00 μB/atom. As for the symmetry: No. 148. As for the total energy: -113.5 eV/f.u.

Lattice parameters (Å, degrees): 8.8172 8.8172 8.8172 89.09 89.09 89.09
Last column: nearest neighbours and their distance in Å.
Fractional coordinates of all 20 atoms:
Pm 0.0000 0.0000 0.0000  6 Y 3.25
Pm 0.1204 0.4534 0.3416  4 Y 3.42-3.75, 3 Pm 3.58-3.63, 1 Th 3.68
Pm 0.3416 0.1204 0.4534  4 Y 3.42-3.75, 3 Pm 3.58-3.63, 1 Th 3.68
Pm 0.4534 0.3416 0.1204  4 Y 3.42-3.75, 3 Pm 3.58-3.63, 1 Th 3.68
Pm 0.5466 0.6584 0.8796  4 Y 3.42-3.75, 3 Pm 3.58-3.63, 1 Th 3.68
Pm 0.6584 0.8796 0.5466  4 Y 3.42-3.75, 3 Pm 3.58-3.63, 1 Th 3.68
Pm 0.8796 0.5466 0.6584  4 Y 3.42-3.75, 3 Pm 3.58-3.63, 1 Th 3.68
Y 0.0031 0.1160 0.6484  2 Pm 3.25-3.42, 4 Y 3.34-3.48
Y 0.1160 0.6484 0.0031  2 Pm 3.25-3.42, 4 Y 3.34-3.48
Y 0.2153 0.7551 0.6331  6 Y 3.34-3.67, 1 Pm 3.51, 1 Th 3.54
Y 0.2449 0.3669 0.7847  6 Y 3.34-3.67, 1 Pm 3.51, 1 Th 3.54
Y 0.3516 0.9969 0.8840  2 Pm 3.25-3.42, 4 Y 3.34-3.48
Y 0.3669 0.7847 0.2449  6 Y 3.34-3.67, 1 Pm 3.51, 1 Th 3.54
Y 0.6331 0.2153 0.7551  6 Y 3.34-3.67, 1 Pm 3.51, 1 Th 3.54
Y 0.6484 0.0031 0.1160  2 Pm 3.25-3.42, 4 Y 3.34-3.48
Y 0.7551 0.6331 0.2153  6 Y 3.34-3.67, 1 Pm 3.51, 1 Th 3.54
Y 0.7847 0.2449 0.3669  6 Y 3.34-3.67, 1 Pm 3.51, 1 Th 3.54
Y 0.8840 0.3516 0.9969  2 Pm 3.25-3.42, 4 Y 3.34-3.48
Y 0.9969 0.8840 0.3516  2 Pm 3.25-3.42, 4 Y 3.34-3.48
Th 0.5000 0.5000 0.5000  6 Y 3.54, 6 Pm 3.68

***

No. 9
The following is a DFT calculation (GGA-PBE) of a geometry-optimized Pm6Y3Th structure.

Values from the calculation:
The density of states at the Fermi level comes out at 15.10 states/eV/f.u. The calculation puts the total magnetization at 0.00 μB/atom. As for the symmetry: No. 2. As for the total energy: -55.1 eV/f.u. The value obtained for the energy above the most stable polymorph in this dataset is 0 meV/atom.

Lattice parameters (Å, degrees): 3.6299 6.2675 29.5432 93.99 90.02 90.08
Last column: nearest neighbours and their distance in Å.
Fractional coordinates of all 20 atoms:
Pm 0.0003 0.1918 0.0986  8 Pm 3.56-3.68, 2 Th 3.57, 2 Y 3.61-3.63
Pm 0.9997 0.8082 0.9014  8 Pm 3.56-3.68, 2 Th 3.57, 2 Y 3.61-3.63
Pm 0.0020 0.6285 0.4014  2 Th 3.57, 8 Pm 3.57-3.68, 2 Y 3.60-3.66
Pm 0.4965 0.2339 0.7008  6 Y 3.58-3.63, 6 Pm 3.59-3.68
Pm 0.4966 0.5987 0.7999  6 Y 3.58-3.63, 6 Pm 3.59-3.67
Pm 0.4993 0.2978 0.9010  7 Pm 3.56-3.68, 1 Th 3.58, 4 Y 3.60-3.65
Pm 0.4986 0.8622 0.5994  7 Pm 3.57-3.68, 1 Th 3.59, 4 Y 3.61-3.66
Pm 0.5014 0.1378 0.4006  7 Pm 3.57-3.68, 1 Th 3.59, 4 Y 3.61-3.66
Pm 0.5007 0.7022 0.0990  7 Pm 3.56-3.68, 1 Th 3.58, 4 Y 3.60-3.65
Pm 0.5034 0.4013 0.2001  6 Y 3.58-3.63, 6 Pm 3.59-3.67
Pm 0.5035 0.7661 0.2992  6 Y 3.58-3.63, 6 Pm 3.59-3.68
Pm 0.9980 0.3715 0.5986  2 Th 3.57, 8 Pm 3.57-3.68, 2 Y 3.60-3.66
Y 0.0000 0.0000 0.5000  6 Pm 3.60-3.61, 4 Th 3.62, 2 Y 3.63
Y 0.0000 0.5000 0.0000  6 Pm 3.60-3.61, 4 Th 3.62, 2 Y 3.63
Y 0.0027 0.2662 0.2986  3 Y 3.57-3.63, 9 Pm 3.58-3.66
Y 0.0036 0.9002 0.2005  3 Y 3.57-3.63, 9 Pm 3.58-3.65
Y 0.9964 0.0998 0.7995  3 Y 3.57-3.63, 9 Pm 3.58-3.65
Y 0.9973 0.7338 0.7014  3 Y 3.57-3.63, 9 Pm 3.58-3.66
Th 0.5000 0.0000 0.0000  6 Pm 3.57-3.58, 4 Y 3.62, 2 Th 3.63
Th 0.5000 0.5000 0.5000  6 Pm 3.57-3.59, 4 Y 3.62, 2 Th 3.63

***

No. 10
The following is a DFT calculation (GGA-PBE) of a geometry-optimized PmY2Th structure.

Values from the calculation:
The density of states at the Fermi level comes out at 5.78 states/eV/f.u. The calculation puts the total magnetization at 0.00 μB/atom. As for the symmetry: No. 12. As for the total energy: -25.1 eV/f.u. The value obtained for the energy above the most stable polymorph in this dataset is 0 meV/atom.

Lattice parameters (Å, degrees): 6.2552 3.6230 11.5403 90.00 90.04 90.00
Last column: nearest neighbours and their distance in Å.
Fractional coordinates of all 8 atoms:
Pm 0.0000 0.0000 0.0000  6 Pm 3.61-3.62, 6 Y 3.62
Pm 0.5000 0.5000 0.0000  6 Pm 3.61-3.62, 6 Y 3.62
Y 0.1663 0.5000 0.7437  3 Th 3.50, 6 Y 3.61-3.62, 3 Pm 3.62
Y 0.3337 0.0000 0.2563  3 Th 3.50, 6 Y 3.61-3.62, 3 Pm 3.62
Y 0.6663 0.0000 0.7437  3 Th 3.50, 6 Y 3.61-3.62, 3 Pm 3.62
Y 0.8337 0.5000 0.2563  3 Th 3.50, 6 Y 3.61-3.62, 3 Pm 3.62
Th 0.0000 0.0000 0.5000  6 Y 3.50, 6 Th 3.61-3.62
Th 0.5000 0.5000 0.5000  6 Y 3.50, 6 Th 3.61-3.62

***

Across the entries above, calculated formation energy takes the values 0.07, 0.08, 0.19, 0.80, 0.29, 0.21, 0.08, 0.24, 0.02, 0.00 eV/atom, respectively.